Entry 1:
Density functional theory data (PBE-GGA) for a geometry-optimized MgScCuPb structure.

Cell and atoms, written as extended XYZ:
```
4
Lattice="0.0000 3.4600 3.4600 3.4600 0.0000 3.4600 3.4600 3.4600 0.0000" Properties=species:S:1:pos:R:3 pbc="T T T"
Pb 0.0000 0.0000 0.0000
Sc 3.4600 3.4600 3.4600
Mg 1.7300 1.7300 1.7300
Cu 5.1900 5.1900 5.1900
```

**E above lowest polymorph**: 0.1821 eV/atom
**Volume**: 82.8 Å³/cell
**SG**: F-43m (216)
**Calculated total energy**: -15.13 eV for the cell shown

---

Entry 2:
Density functional theory data (PBE-GGA) for a geometry-optimized NdSm structure.

Cell and atoms, written as extended XYZ:
```
2
Lattice="-2.9089 -1.6434 1.5100 3.3869 -0.9927 0.9930 -0.0673 4.0560 4.2845" Properties=species:S:1:pos:R:3 pbc="T T T"
Nd -0.8608 1.6155 4.5510
Sm 1.2715 -0.1956 2.2365
```

**E above lowest polymorph**: 0.0000 eV/atom
**Volume**: 68.7 Å³/cell
**DFT formation energy**: 0.026 eV per atom
**SG**: P-6m2 (187)
**Calculated total energy**: -9.42 eV for the cell shown

---

Entry 3:
Density functional theory data (PBE-GGA) for a geometry-optimized Pr2SmNi8Pt structure.

Cell and atoms, written as extended XYZ:
```
12
Lattice="2.5179 1.4537 8.3524 -2.5179 1.4537 8.3524 0.0000 -2.9074 8.3524" Properties=species:S:1:pos:R:3 pbc="T T T"
Sm 0.0000 0.0000 0.0000
Ni 0.0000 0.0000 16.7131
Ni -1.2665 -0.7312 10.3052
Ni 0.0000 0.0000 8.3442
Ni 0.0000 -1.4624 14.7521
Ni 1.2665 -0.7312 10.3052
Ni 1.2665 0.7312 14.7521
Ni 0.0000 1.4624 10.3052
Ni -1.2665 0.7312 14.7521
Pr 0.0000 0.0000 21.6391
Pr 0.0000 0.0000 3.4183
Pt 0.0000 0.0000 12.5287
```

**Volume**: 183.4 Å³/cell
**DFT formation energy**: -0.405 eV per atom
**SG**: R-3m (166)
**Calculated total energy**: -69.71 eV for the cell shown